This record from Alexandria via LeMat-Bulk describes a geometry-optimized Ac3Tb2ErSe6 structure. The functional is PBE.

Formation energy (no corrections) = -1.802 eV per atom
Calculated density = 8.24 g cm⁻³
D(E_F) = 0.397 states/eV per atom

a = 7.2232 Å, b = 7.2232 Å, c = 7.7096 Å
α = 99.00°, β = 99.00°, γ = 120.12°
Fractional coordinates of all 12 atoms:
1 Se 0.5976 0.9273 0.7814
2 Ac 0.8318 0.1682 0.5000
3 Se 0.4024 0.0727 0.2186
4 Tb 0.3335 0.6666 0.0000
5 Se 0.9273 0.5976 0.7814
6 Se 0.2564 0.2564 0.7799
7 Se 0.0727 0.4024 0.2186
8 Ac 0.1682 0.8318 0.5000
9 Ac 0.5000 0.5000 0.5000
10 Se 0.7436 0.7436 0.2201
11 Er 0.0000 0.0000 0.0000
12 Tb 0.6666 0.3335 0.0000

***

This record from Alexandria via LeMat-Bulk describes a geometry-optimized TlGa2Sb structure. The functional is PBE.

Formation energy (no corrections) = 0.170 eV per atom
Calculated density = 6.07 g cm⁻³
D(E_F) = 0.570 states/eV per atom

a = 4.1350 Å, b = 4.1350 Å, c = 8.9301 Å
α = 76.61°, β = 76.61°, γ = 60.00°
Fractional coordinates of all 4 atoms:
1 Sb 0.5000 0.5000 0.5000
2 Tl 0.0000 0.0000 0.0000
3 Ga 0.8903 0.8903 0.3290
4 Ga 0.1097 0.1097 0.6710

***

This record from Alexandria via LeMat-Bulk describes a geometry-optimized CaNp2F11 structure. The functional is PBE.

Formation energy (no corrections) = -3.501 eV per atom
Calculated density = 4.98 g cm⁻³
D(E_F) = 1.124 states/eV per atom

a = 8.5053 Å, b = 8.6575 Å, c = 8.6575 Å
α = 73.11°, β = 60.58°, γ = 60.58°
Fractional coordinates of all 28 atoms:
1 F 0.1330 0.2122 0.7878
2 F 0.2281 0.5462 0.1777
3 F 0.3613 0.2947 0.4376
4 F 0.7281 0.6777 0.0462
5 F 0.3670 0.7122 0.2878
6 Ca 0.2500 0.2500 0.2500
7 F 0.5936 0.2053 0.0624
8 F 0.8670 0.7878 0.2122
9 F 0.5000 0.5000 0.5000
10 F 0.0936 0.5624 0.7053
11 F 0.7719 0.4538 0.8223
12 F 0.8613 0.9376 0.7947
13 F 0.0000 0.0000 0.0000
14 F 0.2719 0.3223 0.9538
15 Np 0.1528 0.8189 0.1811
16 F 0.4520 0.9538 0.3223
17 F 0.0480 0.1777 0.5462
18 Np 0.3472 0.3189 0.6811
19 F 0.1387 0.0624 0.2053
20 Ca 0.7500 0.7500 0.7500
21 F 0.5480 0.0462 0.6777
22 Np 0.8472 0.1811 0.8189
23 F 0.9520 0.8223 0.4538
24 F 0.6330 0.2878 0.7122
25 F 0.9064 0.4376 0.2947
26 Np 0.6528 0.6811 0.3189
27 F 0.6387 0.7053 0.5624
28 F 0.4064 0.7947 0.9376

***

This record from Alexandria via LeMat-Bulk describes a geometry-optimized ReP2S6 structure. The functional is PBE.

Formation energy (no corrections) = 0.013 eV per atom
Calculated density = 4.09 g cm⁻³
D(E_F) = 0.476 states/eV per atom

a = 5.9860 Å, b = 7.8560 Å, c = 7.8560 Å
α = 83.13°, β = 80.63°, γ = 80.63°
Fractional coordinates of all 18 atoms:
1 S 0.3766 0.7107 0.5518
2 S 0.1234 0.4482 0.2893
3 Re 0.2500 0.1078 0.8922
4 S 0.8610 0.1809 0.0233
5 P 0.6755 0.7870 0.6164
6 S 0.6267 0.6214 0.1402
7 S 0.3733 0.3786 0.8598
8 P 0.8245 0.3836 0.2130
9 S 0.8733 0.8598 0.3786
10 P 0.3245 0.2130 0.3836
11 P 0.1755 0.6164 0.7870
12 S 0.1390 0.8191 0.9767
13 S 0.6234 0.2893 0.4482
14 Re 0.7500 0.8922 0.1078
15 S 0.3610 0.0233 0.1809
16 S 0.8766 0.5518 0.7107
17 S 0.6390 0.9767 0.8191
18 S 0.1267 0.1402 0.6214

***

This record from Alexandria via LeMat-Bulk describes a geometry-optimized K6Ba3Ta12Si8O52 structure. The functional is PBE.

Formation energy (no corrections) = -2.843 eV per atom
Calculated density = 5.63 g cm⁻³
D(E_F) = 0.000 states/eV per atom

a = 7.8583 Å, b = 9.1683 Å, c = 15.8712 Å
α = 90.00°, β = 90.00°, γ = 90.00°
Fractional coordinates of all 81 atoms:
1 O 0.7627 0.4145 0.4120
2 O 0.0000 0.4960 0.1656
3 O 0.5000 0.6153 0.3815
4 O 0.2815 0.0644 0.7570
5 O 0.0000 0.0056 0.6680
6 O 0.7643 0.9093 0.0883
7 O 0.2793 0.1081 0.4085
8 Ba 0.5000 0.3026 0.6988
9 O 0.5000 0.1166 0.1117
10 K 0.5000 0.7975 0.7983
11 O 0.0000 0.6412 0.6354
12 Si 0.2087 0.0057 0.3327
13 O 0.2846 0.3322 0.1522
14 K 0.0000 0.8005 0.8026
15 O 0.7627 0.4145 0.5880
16 Ba 0.5000 0.3026 0.3012
17 O 0.2738 0.5593 0.2562
18 Ta 0.2473 0.1159 0.8820
19 O 0.7659 0.1768 0.0000
20 O 0.2738 0.5593 0.7438
21 O 0.2793 0.1081 0.5915
22 O 0.2341 0.1768 0.0000
23 O 0.7643 0.9093 0.9117
24 O 0.2373 0.4145 0.5880
25 O 0.0000 0.4960 0.8344
26 O 0.0000 0.1283 0.1364
27 O 0.2754 0.6003 0.0904
28 Ta 0.7506 0.7579 0.0000
29 O 0.7262 0.5593 0.7438
30 Si 0.7936 0.4947 0.8338
31 O 0.7154 0.3322 0.8478
32 Ta 0.2482 0.6216 0.3803
33 O 0.2687 0.8369 0.6528
34 O 0.2357 0.9093 0.0883
35 Ba 0.5000 0.3950 0.0000
36 K 0.0000 0.8917 0.5000
37 O 0.5000 0.7642 0.0000
38 O 0.0000 0.1283 0.8636
39 O 0.2363 0.6764 0.5000
40 Ta 0.7518 0.6216 0.3803
41 Si 0.2087 0.0057 0.6673
42 O 0.2815 0.0644 0.2430
43 K 0.0000 0.8005 0.1974
44 O 0.0000 0.2258 0.5000
45 Ta 0.7518 0.6216 0.6197
46 Ta 0.7540 0.2659 0.5000
47 O 0.5000 0.1166 0.8883
48 Si 0.7936 0.4947 0.1662
49 O 0.7246 0.6003 0.9096
50 O 0.7207 0.1081 0.5915
51 O 0.7313 0.8369 0.6528
52 O 0.7185 0.0644 0.7570
53 Si 0.2064 0.4947 0.8338
54 Ta 0.7527 0.1159 0.1180
55 O 0.7207 0.1081 0.4085
56 O 0.7637 0.6764 0.5000
57 O 0.2373 0.4145 0.4120
58 O 0.2357 0.9093 0.9117
59 O 0.0000 0.6412 0.3646
60 O 0.0000 0.0056 0.3320
61 O 0.5000 0.2733 0.5000
62 Ta 0.2494 0.7579 0.0000
63 O 0.7154 0.3322 0.1522
64 O 0.7185 0.0644 0.2430
65 O 0.2846 0.3322 0.8478
66 Ta 0.7527 0.1159 0.8820
67 Ta 0.2473 0.1159 0.1180
68 Si 0.2064 0.4947 0.1662
69 Ta 0.2460 0.2659 0.5000
70 O 0.7262 0.5593 0.2562
71 O 0.5000 0.6153 0.6185
72 O 0.2754 0.6003 0.9096
73 O 0.7246 0.6003 0.0904
74 Si 0.7913 0.0057 0.6673
75 O 0.2687 0.8369 0.3472
76 K 0.5000 0.9055 0.5000
77 O 0.7313 0.8369 0.3472
78 K 0.5000 0.7975 0.2017
79 O 0.0000 0.7313 0.0000
80 Si 0.7913 0.0057 0.3327
81 Ta 0.2482 0.6216 0.6197

***

This record from Alexandria via LeMat-Bulk describes a geometry-optimized Tm2Zn12Ni5 structure. The functional is PBE.

Calculated density = 8.38 g cm⁻³
Energy relative to the elements = -0.281 eV/atom
D(E_F) = 0.517 states/eV per atom

a = 6.5879 Å, b = 6.5879 Å, c = 6.5879 Å
α = 83.43°, β = 83.43°, γ = 83.43°
Fractional coordinates of all 19 atoms:
1 Tm 0.6748 0.6748 0.6748
2 Ni 0.8983 0.8983 0.8983
3 Zn 0.2887 0.7113 0.0000
4 Zn 0.7113 0.2887 0.0000
5 Zn 0.0000 0.2887 0.7113
6 Zn 0.6541 0.6541 0.1438
7 Zn 0.3459 0.8562 0.3459
8 Zn 0.8562 0.3459 0.3459
9 Zn 0.1438 0.6541 0.6541
10 Zn 0.6541 0.1438 0.6541
11 Ni 0.0000 0.5000 0.0000
12 Zn 0.2887 0.0000 0.7113
13 Zn 0.3459 0.3459 0.8562
14 Ni 0.1017 0.1017 0.1017
15 Ni 0.0000 0.0000 0.5000
16 Tm 0.3252 0.3252 0.3252
17 Zn 0.7113 0.0000 0.2887
18 Zn 0.0000 0.7113 0.2887
19 Ni 0.5000 0.0000 0.0000

***

This record from Alexandria via LeMat-Bulk describes a geometry-optimized Tb12PrHo6 structure. The functional is PBE.

Calculated density = 8.13 g cm⁻³
Energy relative to the elements = 0.152 eV/atom
D(E_F) = 1.726 states/eV per atom

a = 8.5316 Å, b = 8.5316 Å, c = 8.5316 Å
α = 88.62°, β = 88.62°, γ = 88.62°
Fractional coordinates of all 19 atoms:
1 Tb 0.5656 0.2250 0.4581
2 Tb 0.4344 0.7750 0.5419
3 Tb 0.2062 0.3575 0.0115
4 Tb 0.7938 0.6425 0.9885
5 Ho 0.7420 0.9056 0.3098
6 Ho 0.2580 0.0944 0.6902
7 Ho 0.9056 0.3098 0.7420
8 Ho 0.6902 0.2580 0.0944
9 Tb 0.6425 0.9885 0.7938
10 Tb 0.3575 0.0115 0.2062
11 Ho 0.0944 0.6902 0.2580
12 Tb 0.0115 0.2062 0.3575
13 Tb 0.4581 0.5656 0.2250
14 Tb 0.2250 0.4581 0.5656
15 Tb 0.5419 0.4344 0.7750
16 Ho 0.3098 0.7420 0.9056
17 Pr 0.0000 0.0000 0.0000
18 Tb 0.9885 0.7938 0.6425
19 Tb 0.7750 0.5419 0.4344

***

This record from Alexandria via LeMat-Bulk describes a geometry-optimized LaSiNi2 structure. The functional is PBE.

Formation energy (no corrections) = -0.412 eV per atom
Calculated density = 5.83 g cm⁻³
D(E_F) = 0.587 states/eV per atom

a = 4.5965 Å, b = 4.5965 Å, c = 8.3327 Å
α = 73.99°, β = 73.99°, γ = 90.00°
Fractional coordinates of all 8 atoms:
1 Ni 0.3750 0.5924 0.7500
2 Si 0.5000 0.5000 0.0000
3 La 0.0000 0.0000 0.0000
4 Ni 0.8750 0.6576 0.7500
5 Ni 0.4076 0.1250 0.2500
6 Si 0.2500 0.7500 0.5000
7 Ni 0.3424 0.6250 0.2500
8 La 0.7500 0.2500 0.5000

***

This record from Alexandria via LeMat-Bulk describes a geometry-optimized CaTcPb structure. The functional is PBE.

Calculated density = 8.00 g cm⁻³
Energy relative to the elements = 0.510 eV/atom
D(E_F) = 1.215 states/eV per atom

a = 3.4570 Å, b = 3.4570 Å, c = 6.9243 Å
α = 90.00°, β = 90.00°, γ = 120.00°
Fractional coordinates of all 3 atoms:
1 Pb 0.6667 0.3333 0.3737
2 Ca 0.0000 0.0000 0.9705
3 Tc 0.3333 0.6667 0.6559

***

This record from Alexandria via LeMat-Bulk describes a geometry-optimized AcDy3Tl3 structure. The functional is PBE.

Calculated density = 10.19 g cm⁻³
Energy relative to the elements = -0.254 eV/atom
D(E_F) = 0.970 states/eV per atom

a = 5.3017 Å, b = 9.7089 Å, c = 9.7089 Å
α = 120.00°, β = 90.00°, γ = 90.00°
Fractional coordinates of all 14 atoms:
1 Dy 0.2500 0.2272 0.9946
2 Tl 0.2500 0.5578 0.9325
3 Dy 0.2500 0.7674 0.7728
4 Dy 0.7500 0.2326 0.2272
5 Tl 0.7500 0.4422 0.0675
6 Ac 0.2500 0.6667 0.3333
7 Tl 0.2500 0.3747 0.4422
8 Ac 0.7500 0.3333 0.6667
9 Tl 0.7500 0.6253 0.5578
10 Tl 0.2500 0.0675 0.6253
11 Dy 0.7500 0.7728 0.0054
12 Dy 0.2500 0.0054 0.2326
13 Tl 0.7500 0.9325 0.3747
14 Dy 0.7500 0.9946 0.7674

***

This record from Alexandria via LeMat-Bulk describes a geometry-optimized TaTi2Pt structure. The functional is PBE.

Calculated density = 12.02 g cm⁻³
Energy relative to the elements = -0.373 eV/atom
D(E_F) = 1.042 states/eV per atom

a = 4.5174 Å, b = 4.5174 Å, c = 4.5174 Å
α = 60.00°, β = 60.00°, γ = 60.00°
Fractional coordinates of all 4 atoms:
1 Ta 0.5000 0.5000 0.5001
2 Ti 0.2500 0.2500 0.2499
3 Ti 0.0000 0.0000 0.9999
4 Pt 0.7500 0.7500 0.7501

***

This record from Alexandria via LeMat-Bulk describes a geometry-optimized K2NbGaO5 structure. The functional is PBE.

Formation energy (no corrections) = -2.058 eV per atom
Calculated density = 3.52 g cm⁻³

a = 3.2030 Å, b = 7.7192 Å, c = 12.5035 Å
α = 90.00°, β = 90.00°, γ = 101.97°
Fractional coordinates of all 18 atoms:
1 O 0.4939 0.9878 0.3009
2 O 0.5061 0.0122 0.8009
3 O 0.3363 0.6727 0.0153
4 Ga 0.4312 0.8623 0.4191
5 K 0.8666 0.7333 0.8261
6 K 0.9361 0.8722 0.1518
7 K 0.0639 0.1278 0.6518
8 O 0.3009 0.6019 0.4269
9 Nb 0.2184 0.4367 0.0396
10 O 0.6637 0.3273 0.5153
11 K 0.1334 0.2667 0.3261
12 O 0.9293 0.8586 0.5060
13 O 0.2924 0.5848 0.6381
14 O 0.6991 0.3981 0.9269
15 Nb 0.7816 0.5633 0.5396
16 O 0.0707 0.1414 0.0060
17 O 0.7076 0.4152 0.1381
18 Ga 0.5688 0.1377 0.9191

***

This record from Alexandria via LeMat-Bulk describes a geometry-optimized K2Ce2CuS6 structure. The functional is PBE.

Formation energy (no corrections) = -1.288 eV per atom
Calculated density = 3.28 g cm⁻³
D(E_F) = 0.286 states/eV per atom

a = 6.9926 Å, b = 6.9926 Å, c = 7.8141 Å
α = 97.59°, β = 97.59°, γ = 122.12°
Fractional coordinates of all 11 atoms:
1 Cu 0.0000 0.0000 0.5000
2 K 0.8420 0.1580 0.0000
3 S 0.0609 0.4101 0.7007
4 S 0.5899 0.9391 0.2993
5 K 0.1580 0.8420 0.0000
6 S 0.7690 0.7690 0.6690
7 Ce 0.3345 0.6655 0.5000
8 Ce 0.6655 0.3345 0.5000
9 S 0.4101 0.0609 0.7007
10 S 0.9391 0.5899 0.2993
11 S 0.2310 0.2310 0.3310

***

This record from Alexandria via LeMat-Bulk describes a geometry-optimized CrRhW2 structure. The functional is PBE.

Calculated density = 13.31 g cm⁻³
Energy relative to the elements = 0.758 eV/atom
D(E_F) = 1.166 states/eV per atom

a = 3.7168 Å, b = 3.7168 Å, c = 9.7979 Å
α = 79.07°, β = 79.07°, γ = 90.00°
Fractional coordinates of all 8 atoms:
1 Cr 0.2500 0.7500 0.5000
2 W 0.1351 0.6250 0.2500
3 W 0.6149 0.1250 0.2500
4 Rh 0.7500 0.2500 0.5000
5 W 0.8750 0.8649 0.7500
6 W 0.3750 0.3851 0.7500
7 Rh 0.0000 0.0000 0.0000
8 Cr 0.5000 0.5000 0.0000

***

This record from Alexandria via LeMat-Bulk describes a geometry-optimized KMn2CoRu structure. The functional is PBE.

Calculated density = 5.70 g cm⁻³
Energy relative to the elements = 2.442 eV/atom
D(E_F) = 0.903 states/eV per atom

a = 4.6764 Å, b = 4.1163 Å, c = 4.6764 Å
α = 90.00°, β = 90.00°, γ = 90.00°
Fractional coordinates of all 5 atoms:
1 K 0.0000 0.0000 0.0000
2 Ru 0.5000 0.5000 0.5000
3 Mn 0.0000 0.0000 0.5000
4 Co 0.0000 0.5000 0.0000
5 Mn 0.5000 0.0000 0.0000

***

This record from Alexandria via LeMat-Bulk describes a geometry-optimized Tb2Ga3SnIr4 structure. The functional is PBE.

Calculated density = 12.23 g cm⁻³
Energy relative to the elements = -0.662 eV/atom
D(E_F) = 0.460 states/eV per atom

a = 4.2876 Å, b = 4.2876 Å, c = 10.4440 Å
α = 90.00°, β = 90.00°, γ = 90.00°
Fractional coordinates of all 10 atoms:
1 Ga 0.0000 0.5000 0.1234
2 Tb 0.0000 0.5000 0.7749
3 Tb 0.5000 0.0000 0.2251
4 Ir 0.0000 0.0000 0.0000
5 Sn 0.5000 0.5000 0.5000
6 Ga 0.5000 0.0000 0.8766
7 Ir 0.5000 0.0000 0.6427
8 Ir 0.5000 0.5000 0.0000
9 Ir 0.0000 0.5000 0.3573
10 Ga 0.0000 0.0000 0.5000